No. 1
! SrZrFe2 (PBE, optimized geometry); values from VASP
&SYSTEM
  ibrav = 0, nat = 4, ntyp = 3
/
ATOMIC_SPECIES
Fe 55.84 Fe.upf
Sr 87.62 Sr.upf
Zr 91.22 Zr.upf
ATOMIC_POSITIONS crystal
Fe 0.0000 0.0000 0.0333
Sr 0.0000 0.0000 0.4546
Fe 0.5000 0.5000 0.1692
Zr 0.5000 0.5000 0.8429
CELL_PARAMETERS angstrom
3.2542 0.0415 0.0000
-0.0414 3.2542 0.0000
0.0000 0.0000 8.0526
! Size of the total moment in Bohr magnetons per cell: 4.63
! Energy above the most stable polymorph in this dataset in meV/atom: 156
! Energy relative to the elements in kJ/mol of atoms: 36

***

No. 2
! SrZrFe2 (PBE, optimized geometry); values from VASP
&SYSTEM
  ibrav = 0, nat = 4, ntyp = 3
/
ATOMIC_SPECIES
Zr 91.22 Zr.upf
Fe 55.84 Fe.upf
Sr 87.62 Sr.upf
ATOMIC_POSITIONS crystal
Zr 0.2695 0.7695 0.5000
Fe 0.7889 0.2889 0.5000
Fe 0.9057 0.9057 0.0000
Sr 0.5359 0.5359 0.0000
CELL_PARAMETERS angstrom
-4.4886 4.9026 0.9910
-3.0230 2.2481 5.5653
5.6259 -1.5678 -3.3252
! Size of the total moment in Bohr magnetons per cell: 3.29
! Energy above the most stable polymorph in this dataset in meV/atom: 136
! Energy relative to the elements in kJ/mol of atoms: 34

***

No. 3
! SrZrFe2 (PBE, optimized geometry); values from VASP
&SYSTEM
  ibrav = 0, nat = 4, ntyp = 3
/
ATOMIC_SPECIES
Fe 55.84 Fe.upf
Zr 91.22 Zr.upf
Sr 87.62 Sr.upf
ATOMIC_POSITIONS crystal
Fe 0.2500 0.7500 0.5000
Zr 0.7500 0.2500 0.5000
Sr 0.5000 0.5000 0.0000
Fe 0.0000 0.0000 0.0000
CELL_PARAMETERS angstrom
-0.1547 -2.0188 5.3192
-2.7529 -4.8596 1.0947
3.8552 1.9688 -3.6951
! Size of the total moment in Bohr magnetons per cell: 3.28
! Energy above the most stable polymorph in this dataset in meV/atom: 564
! Energy relative to the elements in kJ/mol of atoms: 76

***

No. 4
! SrZrFe2 (PBE, optimized geometry); values from VASP
&SYSTEM
  ibrav = 0, nat = 4, ntyp = 3
/
ATOMIC_SPECIES
Fe 55.84 Fe.upf
Sr 87.62 Sr.upf
Zr 91.22 Zr.upf
ATOMIC_POSITIONS crystal
Fe 0.0000 0.0000 0.0000
Sr 0.5000 0.5000 0.5000
Zr 0.7500 0.7500 0.7500
Fe 0.2500 0.2500 0.2500
CELL_PARAMETERS angstrom
-1.8499 4.3753 -0.2047
-2.5312 1.3356 -3.7968
-4.7002 0.6136 0.3722
! Size of the total moment in Bohr magnetons per cell: 4.03
! Energy above the most stable polymorph in this dataset in meV/atom: 546
! Energy relative to the elements in kJ/mol of atoms: 74